[1]
{
  "formula": "MgMoOs2",
  "functional": "PBEsol",
  "state": "relaxed",
  "cell": [[3.084, 0.000, 0.000], [0.000, 4.349, 0.000], [0.000, 0.000, 4.349]],
  "species": ["Os", "Os", "Mo", "Mg"],
  "fractional_positions": [[0.000, 0.000, 0.500], [0.000, 0.500, 0.000], [0.500, 0.000, 0.000], [0.500, 0.500, 0.500]],
  "crystal_system": "tetragonal",
  "sg": "No. 123"
}

=====

[2]
{
  "formula": "MgMoOs2",
  "functional": "PBEsol",
  "state": "relaxed",
  "cell": [[-2.265, 1.126, -1.251], [-1.333, -4.223, -1.387], [-0.699, 0.702, 5.082]],
  "species": ["Mo", "Os", "Os", "Mg"],
  "fractional_positions": [[0.270, 0.824, 0.540], [0.732, 0.301, 0.463], [0.008, 0.936, 0.015], [0.491, 0.438, 0.982]],
  "crystal_system": "monoclinic",
  "sg": "No. 8"
}

=====

| no. | ΔH_f (0 K) (eV/atom) |
| --- | --- |
| 1 | 0.21 |
| 2 | 0.22 |